(1)
Ta2CdAu | PBE-GGA | optimized geometry

The structure in POSCAR format:
```
Ta2CdAu
1.0
-9.514 -2.838 2.485
-8.368 -2.807 5.182
-9.413 -0.335 4.005
Cd Au Ta
1 1 2
Cartesian
-20.535 -4.499 8.780
-13.707 -3.003 5.861
-27.253 -5.972 11.653
-6.745 -1.478 2.884
```

Properties
- uncorrected energy (eV per cell) = -27.295
- crystal system = trigonal
- energy of formation from the pure elements (eV/f.u.) = 0.60
- magnetic moment (μB/atom) = 0.0001

---

(2)
TaCd2Au | PBE-GGA | optimized geometry

The structure in POSCAR format:
```
TaCd2Au
1.0
2.939 0.033 0.000
-0.033 2.939 0.000
0.000 0.000 8.852
Ta Cd Au
1 2 1
Cartesian
1.453 1.486 2.213
0.000 0.000 8.823
0.000 0.000 4.456
1.453 1.486 6.639
```

Properties
- uncorrected energy (eV per cell) = -16.556
- crystal system = tetragonal
- energy of formation from the pure elements (eV/f.u.) = 0.40
- magnetic moment (μB/atom) = 0.0000

---

(3)
TaCd2Au | PBE-GGA | optimized geometry

The structure in POSCAR format:
```
TaCd2Au
1.0
4.777 0.000 0.000
2.389 4.137 0.000
2.389 1.379 3.901
Ta Au Cd
1 1 2
Cartesian
7.166 4.137 2.925
4.777 2.758 1.950
2.389 1.379 0.975
0.000 0.000 0.000
```

Properties
- uncorrected energy (eV per cell) = -15.622
- crystal system = cubic
- energy of formation from the pure elements (eV/f.u.) = 1.34
- magnetic moment (μB/atom) = 0.0001